Record 1
First-principles (PBE) data for crystalline LaNd7Y12 at its relaxed geometry, as listed in Alexandria.

abc: 9.8643 9.8643 9.8643
angles: 109.47 109.47 109.47
Last column: nearest neighbours and their distance in Å.
Atoms (fractional coordinates):
La  0.0000  0.0000  0.0000  12 Y 4.05
Nd  0.5000  0.5000  0.0000  12 Y 4.00-4.03
Nd  0.0000  0.5000  0.5000  12 Y 4.00-4.03
Nd  0.5000  0.0000  0.5000  12 Y 4.00-4.03
Nd  0.5000  0.5000  0.5000  6 Y 2.85
Nd  0.0000  0.0000  0.5000  6 Y 2.85
Nd  0.5000  0.0000  0.0000  6 Y 2.85
Nd  0.0000  0.5000  0.0000  6 Y 2.85
Y  0.4969  0.7486  0.7483  2 Nd 2.85
Y  0.0003  0.7486  0.2517  2 Nd 2.85
Y  0.5031  0.2514  0.2517  2 Nd 2.85
Y  0.9997  0.2514  0.7483  2 Nd 2.85
Y  0.7483  0.9997  0.2514  2 Nd 2.85
Y  0.7483  0.4969  0.7486  2 Nd 2.85
Y  0.2517  0.0003  0.7486  2 Nd 2.85
Y  0.2517  0.5031  0.2514  2 Nd 2.85
Y  0.7486  0.7483  0.4969  2 Nd 2.85
Y  0.2514  0.2517  0.5031  2 Nd 2.85
Y  0.7486  0.2517  0.0003  2 Nd 2.85
Y  0.2514  0.7483  0.9997  2 Nd 2.85

Output
polymorph energy (0 for the lowest one): 398 meV per atom
ΔE_f: 607.6 meV per atom
symmetry: Im-3m, No. 229
DOS(E_F): 29.0 states/eV/cell

Record 2
First-principles (PBE) data for crystalline LaNd2Y7 at its relaxed geometry, as listed in Alexandria.

abc: 8.0781 9.5491 9.5559
angles: 141.76 126.17 47.53
Last column: nearest neighbours and their distance in Å.
Atoms (fractional coordinates):
La  0.0000  0.0000  0.0000  10 Y 3.61-3.63, 2 Nd 3.63
Nd  0.4989  0.8991  0.5979  10 Y 3.60-3.63, 1 Nd 3.60, 1 La 3.63
Nd  0.5011  0.1009  0.4021  10 Y 3.60-3.63, 1 Nd 3.60, 1 La 3.63
Y  0.0013  0.6003  0.3988  7 Y 3.58-3.65, 3 Nd 3.61-3.63, 2 La 3.62-3.63
Y  0.9987  0.3997  0.6012  7 Y 3.58-3.65, 3 Nd 3.61-3.63, 2 La 3.62-3.63
Y  0.5027  0.7007  0.8006  8 Y 3.58-3.63, 3 Nd 3.60-3.63, 1 La 3.63
Y  0.4973  0.2993  0.1994  8 Y 3.58-3.63, 3 Nd 3.60-3.63, 1 La 3.63
Y  0.9997  0.8003  0.2005  9 Y 3.59-3.62, 2 Nd 3.61, 1 La 3.61
Y  0.0003  0.1997  0.7995  9 Y 3.59-3.62, 2 Nd 3.61, 1 La 3.61
Y  0.5000  0.5000  0.0000  4 Nd 3.60-3.62, 2 La 3.61, 6 Y 3.62-3.63

Output
polymorph energy (0 for the lowest one): 0 meV per atom
ΔE_f: 22.3 meV per atom
symmetry: P-1, No. 2
DOS(E_F): 15.6 states/eV/cell